This record from Alexandria describes crystalline ScCrIn at its relaxed geometry. The functional is PBE.

Calculated values
As for the space group: P3m1, No. 156. For the energy relative to the elements, the calculation gives 65 meV/atom.

a b c (Å): 4.7507 4.7507 3.1789
angles (deg): 90.00 90.00 120.00
Site moments in Bohr magnetons follow the coordinates.
Atoms (fractional coordinates):
Cr 0.0000 0.0000 0.1646  3.40
In 0.6667 0.3333 0.1683  -0.04
Sc 0.3333 0.6667 0.6671  -0.07

This record from Alexandria describes crystalline PrHo2ScHg4 at its relaxed geometry. The functional is PBE.

Calculated values
As for the space group: R-3m, No. 166. For the energy relative to the elements, the calculation gives -441 meV/atom.

a b c (Å): 5.1983 5.1983 9.2224
angles (deg): 73.63 73.63 60.00
Site moments in Bohr magnetons follow the coordinates.
Atoms (fractional coordinates):
Pr 0.0000 0.0000 0.0000  0.08
Ho 0.7532 0.7532 0.7404  0.08
Ho 0.2468 0.2468 0.2596  0.08
Sc 0.5000 0.5000 0.5000  0.11
Hg 0.3824 0.3824 0.8528  0.01
Hg 0.8716 0.8716 0.3852  0.01
Hg 0.1284 0.1284 0.6148  0.01
Hg 0.6176 0.6176 0.1472  0.01

This record from Alexandria describes crystalline La8NiPt3Br4 at its relaxed geometry. The functional is PBE.

Calculated values
The uncorrected formation energy is -1.23 eV/atom. As for the space group: C2/m, No. 12.

a b c (Å): 8.5277 9.2955 8.5326
angles (deg): 117.37 119.98 90.00
Atoms (fractional coordinates):
La 0.2292 0.6964 0.9676
La 0.2294 0.6966 0.4588
La 0.2667 0.3004 0.5333
La 0.7384 0.6964 0.9676
La 0.2616 0.3036 0.0324
La 0.7333 0.6996 0.4667
La 0.7706 0.3034 0.5412
La 0.7708 0.3036 0.0324
Ni 0.0000 0.5000 0.0000
Pt 0.5000 0.5000 0.0000
Pt 0.5000 0.5000 0.5000
Pt 0.0000 0.5000 0.5000
Br 0.5000 0.0000 0.0000
Br 0.5000 0.0000 0.5000
Br 0.0000 0.0000 0.0000
Br 0.0000 0.0000 0.5000

This record from Alexandria describes crystalline TbUTc at its relaxed geometry. The functional is PBE.

Calculated values
As for the space group: I4/mmm, No. 139. For the energy relative to the elements, the calculation gives 213 meV/atom.

a b c (Å): 3.4771 3.4771 12.2464
angles (deg): 98.16 98.16 90.00
Atoms (fractional coordinates):
Tb 0.0758 0.0758 0.1517
Tb 0.9242 0.9242 0.8483
U 0.6645 0.6645 0.3290
U 0.3355 0.3355 0.6710
Tc 0.7941 0.7941 0.5882
Tc 0.2059 0.2059 0.4118

This record from Alexandria describes crystalline YAgC at its relaxed geometry. The functional is PBE.

Calculated values
As for the space group: Amm2, No. 38. For the energy relative to the elements, the calculation gives 202 meV/atom.

a b c (Å): 5.8818 4.1056 4.6965
angles (deg): 90.00 90.00 110.40
Atoms (fractional coordinates):
Y 0.8978 0.0687 0.6667
Y 0.4990 0.3690 0.1667
C 0.6298 0.4347 0.6667
C 0.0334 0.1365 0.1667
Ag 0.3748 0.8069 0.6667
Ag 0.0785 0.6591 0.1667

This record from Alexandria describes crystalline BaNiPt2Rh at its relaxed geometry. The functional is PBE.

Calculated values
As for the space group: P4/mmm, No. 123. For the energy relative to the elements, the calculation gives 178 meV/atom.

a b c (Å): 4.8222 4.5890 4.8222
angles (deg): 90.00 90.00 90.00
Site moments in Bohr magnetons follow the coordinates.
Atoms (fractional coordinates):
Ni 0.0000 0.0000 0.0000  0.62
Rh 0.0000 0.5000 0.0000  0.61
Ba 0.5000 0.5000 0.5000  -0.01
Pt 0.0000 0.0000 0.5000  0.02
Pt 0.5000 0.0000 0.0000  0.02

Number 1: Fermi-level density of states 0.839 states/eV per atom. Number 2: Fermi-level density of states 1.102 states/eV per atom. Number 3: Fermi-level density of states 0.737 states/eV per atom. Number 4: Fermi-level density of states 1.259 states/eV per atom. Number 5: Fermi-level density of states 0.417 states/eV per atom. Number 6: Fermi-level density of states 1.335 states/eV per atom.